[1]
Cs3Y7Se12 | Alexandria | PBE | optimized geometry; uncorrected formation energy = -1839 meV per atom
1.0
4.1862 0.0000 0.0000
0.0000 12.8436 0.0000
0.0000 0.0000 26.6445
Cs Y Se
6 14 24
Direct
0.0000 0.0222 0.0000 Cs
0.0000 0.2928 0.3533 Cs
0.0000 0.4728 0.7399 Cs
0.5000 0.5272 0.2399 Cs
0.5000 0.7072 0.8533 Cs
0.5000 0.9778 0.5000 Cs
0.0000 0.1684 0.6624 Y
0.0000 0.2559 0.8729 Y
0.0000 0.3301 0.0846 Y
0.0000 0.5361 0.4605 Y
0.0000 0.6632 0.0584 Y
0.0000 0.8406 0.6886 Y
0.0000 0.9584 0.2888 Y
0.5000 0.0416 0.7888 Y
0.5000 0.1594 0.1886 Y
0.5000 0.3368 0.5584 Y
0.5000 0.4639 0.9605 Y
0.5000 0.6699 0.5846 Y
0.5000 0.7441 0.3729 Y
0.5000 0.8316 0.1624 Y
0.0000 0.1880 0.5553 Se
0.0000 0.1911 0.7700 Se
0.0000 0.3098 0.1932 Se
0.0000 0.3134 0.9770 Se
0.0000 0.5056 0.5717 Se
0.0000 0.5892 0.3569 Se
0.0000 0.6170 0.9545 Se
0.0000 0.6849 0.1636 Se
0.0000 0.8167 0.5832 Se
0.0000 0.8892 0.7930 Se
0.0000 0.8949 0.3897 Se
0.0000 0.9935 0.1767 Se
0.5000 0.0065 0.6767 Se
0.5000 0.1051 0.8897 Se
0.5000 0.1108 0.2930 Se
0.5000 0.1833 0.0832 Se
0.5000 0.3151 0.6636 Se
0.5000 0.3830 0.4545 Se
0.5000 0.4108 0.8569 Se
0.5000 0.4944 0.0717 Se
0.5000 0.6866 0.4770 Se
0.5000 0.6902 0.6932 Se
0.5000 0.8089 0.2700 Se
0.5000 0.8120 0.0553 Se


[2]
Cs2In4Sn3Hg | Alexandria | PBE | optimized geometry; DFT formation energy = -168 meV per atom
1.0
5.2762 0.0000 0.0000
0.0000 5.2762 0.0000
0.0000 0.0000 12.1941
Cs In Sn Hg
2 4 3 1
Direct
0.0000 0.5000 0.2485 Cs
0.5000 0.0000 0.7515 Cs
0.0000 0.0000 0.0000 In
0.0000 0.5000 0.6255 In
0.5000 0.0000 0.3745 In
0.5000 0.5000 0.0000 In
0.0000 0.5000 0.8720 Sn
0.5000 0.0000 0.1280 Sn
0.5000 0.5000 0.5000 Sn
0.0000 0.0000 0.5000 Hg